Fe3SbO, relaxed, DFT PBE+U; DFT total energy = -5.28 eV per atom; E above lowest polymorph = 0 meV per atom
1.0
-1.374 3.623 1.898
-1.409 -2.299 3.368
3.839 0.453 1.915
Sb Fe O
1 3 1
Direct
0.500 0.500 0.500 Sb
0.000 0.500 0.000 Fe
0.000 0.000 0.500 Fe
0.500 0.000 0.000 Fe
0.000 0.000 0.000 O